1.
First-principles (PBEsol) data for a geometry-optimized LiBe2Sn structure, as listed in the Alexandria database.

Summary:
Space-group type: I4_1/amd, No. 141
DFT formation energy: 49 kJ per mole of atoms

a = 4.262 Å, b = 4.262 Å, c = 8.812 Å
α = 103.99°, β = 103.99°, γ = 90.00°
Element x y z (fractional)
1 Be 0.625 0.875 0.750
2 Be 0.125 0.875 0.750
3 Be 0.125 0.875 0.250
4 Be 0.125 0.375 0.250
5 Sn 0.000 0.000 0.000
6 Sn 0.250 0.750 0.500
7 Li 0.500 0.500 0.000
8 Li 0.750 0.250 0.500



2.
First-principles (PBEsol) data for a geometry-optimized LiBeSn3 structure, as listed in the Alexandria database.

Summary:
Space-group type: Pm-3m, No. 221
Offset from the most stable computed form: 418.1 meV per atom
DFT formation energy: 63 kJ per mole of atoms

a = 4.886 Å, b = 4.886 Å, c = 4.886 Å
α = 90.00°, β = 90.00°, γ = 90.00°
Element x y z (fractional)
1 Be 0.500 0.500 0.500
2 Sn 0.000 0.500 0.000
3 Sn 0.000 0.000 0.500
4 Sn 0.500 0.000 0.000
5 Li 0.000 0.000 0.000



3.
First-principles (PBEsol) data for a geometry-optimized LiBeSn3 structure, as listed in the Alexandria database.

Summary:
Space-group type: Pm-3m, No. 221
Offset from the most stable computed form: 0.0 meV per atom
DFT formation energy: 23 kJ per mole of atoms

a = 4.925 Å, b = 4.925 Å, c = 4.925 Å
α = 90.00°, β = 90.00°, γ = 90.00°
Element x y z (fractional)
1 Be 0.000 0.000 0.000
2 Sn 0.000 0.500 0.000
3 Sn 0.000 0.000 0.500
4 Sn 0.500 0.000 0.000
5 Li 0.500 0.500 0.500



4.
First-principles (PBEsol) data for a geometry-optimized LiTa2Be structure, as listed in the Alexandria database.

Summary:
Space-group type: Pmmm, No. 47
DFT formation energy: 42 kJ per mole of atoms

a = 3.149 Å, b = 4.244 Å, c = 4.451 Å
α = 90.00°, β = 90.00°, γ = 90.00°
Element x y z (fractional)
1 Be 0.500 0.000 0.500
2 Li 0.000 0.500 0.500
3 Ta 0.000 0.000 0.000
4 Ta 0.500 0.500 0.000



5.
First-principles (PBEsol) data for a geometry-optimized LiTa2Be structure, as listed in the Alexandria database.

Summary:
Space-group type: C2/m, No. 12
DFT formation energy: 43 kJ per mole of atoms

a = 2.639 Å, b = 5.117 Å, c = 5.227 Å
α = 116.04°, β = 98.88°, γ = 101.55°
Element x y z (fractional)
1 Be 0.500 0.000 0.000
2 Li 0.000 0.500 0.000
3 Ta 0.000 0.000 0.500
4 Ta 0.500 0.500 0.500



6.
First-principles (PBEsol) data for a geometry-optimized Li2BeTc structure, as listed in the Alexandria database.

Summary:
Space-group type: R-3m, No. 166
Offset from the most stable computed form: 85.6 meV per atom
DFT formation energy: 30 kJ per mole of atoms

a = 2.558 Å, b = 2.558 Å, c = 9.204 Å
α = 82.01°, β = 82.01°, γ = 60.00°
Element x y z (fractional)
1 Be 0.000 0.000 0.000
2 Tc 0.500 0.500 0.500
3 Li 0.252 0.252 0.245
4 Li 0.748 0.748 0.755



7.
First-principles (PBEsol) data for a geometry-optimized Li2BeTc structure, as listed in the Alexandria database.

Summary:
Space-group type: Imm2, No. 44
Offset from the most stable computed form: 114.2 meV per atom
DFT formation energy: 33 kJ per mole of atoms

a = 2.415 Å, b = 4.569 Å, c = 5.135 Å
α = 116.42°, β = 103.60°, γ = 90.00°
Element x y z (fractional)
1 Be 0.251 0.751 0.502
2 Tc 0.524 0.524 0.047
3 Li 0.986 0.986 0.971
4 Li 0.740 0.240 0.480



8.
First-principles (PBEsol) data for a geometry-optimized Li2BeTc structure, as listed in the Alexandria database.

Summary:
Space-group type: R3m, No. 160
Offset from the most stable computed form: 1.1 meV per atom
DFT formation energy: 22 kJ per mole of atoms

a = 2.616 Å, b = 2.616 Å, c = 9.198 Å
α = 81.82°, β = 81.82°, γ = 60.00°
Element x y z (fractional)
1 Be 0.245 0.245 0.265
2 Tc 0.507 0.507 0.480
3 Li 0.993 0.993 0.020
4 Li 0.755 0.755 0.735



9.
First-principles (PBEsol) data for a geometry-optimized Li2BeTc structure, as listed in the Alexandria database.

Summary:
Space-group type: Cm, No. 8
Offset from the most stable computed form: 0.0 meV per atom
DFT formation energy: 22 kJ per mole of atoms

a = 2.380 Å, b = 4.619 Å, c = 4.827 Å
α = 106.74°, β = 90.00°, γ = 104.93°
Element x y z (fractional)
1 Be 0.266 0.532 0.668
2 Tc 0.525 0.050 0.587
3 Li 0.973 0.946 0.058
4 Li 0.736 0.472 0.187



10.
First-principles (PBEsol) data for a geometry-optimized LiBeTc2 structure, as listed in the Alexandria database.

Summary:
Space-group type: Cmmm, No. 65
DFT formation energy: 19 kJ per mole of atoms

a = 2.500 Å, b = 2.500 Å, c = 8.232 Å
α = 90.00°, β = 90.00°, γ = 102.12°
Element x y z (fractional)
1 Be 0.500 0.500 0.500
2 Li 0.500 0.500 0.000
3 Tc 0.000 0.000 0.277
4 Tc 0.000 0.000 0.723



11.
First-principles (PBEsol) data for a geometry-optimized Li2BeTe structure, as listed in the Alexandria database.

Summary:
Space-group type: Fm-3m, No. 225
ΔE_f (raw): -55 meV/atom

a = 4.611 Å, b = 4.611 Å, c = 4.611 Å
α = 60.00°, β = 60.00°, γ = 60.00°
Element x y z (fractional)
1 Be 0.000 0.000 0.000
2 Te 0.500 0.500 0.500
3 Li 0.250 0.250 0.250
4 Li 0.750 0.750 0.750



12.
First-principles (PBEsol) data for a geometry-optimized LiBe2Te structure, as listed in the Alexandria database.

Summary:
Space-group type: I4/mmm, No. 139
ΔE_f (raw): 313 meV/atom

a = 3.708 Å, b = 3.708 Å, c = 4.990 Å
α = 111.81°, β = 111.81°, γ = 90.00°
Element x y z (fractional)
1 Be 0.750 0.250 0.500
2 Be 0.250 0.750 0.500
3 Te 0.500 0.500 0.000
4 Li 0.000 0.000 0.000